Arrangement one

The following is a DFT calculation (SCAN) of a crystal of SrPtRh2 relaxed with PBEsol.

a b c (Å): 6.5141 6.5141 6.5141
angles (deg): 90.00 90.00 90.00
With the nearest neighbours (Å) after each atom.
Space group Fm-3m (No. 225)
One atom of each set of equivalent atoms:
Sr 0.0000 0.0000 0.0000 x4  8 Rh 2.82
Pt 0.0000 0.0000 0.5000 x4  8 Rh 2.82
Rh 0.2500 0.2500 0.2500 x8  4 Sr 2.82, 4 Pt 2.82

**Crystal system**: cubic
**D(E_F)**: 15.8 states/eV per cell


Arrangement two

The following is a DFT calculation (SCAN) of a crystal of SrPtRh2 relaxed with PBEsol.

a b c (Å): 2.8273 3.7276 6.8222
angles (deg): 90.00 90.00 90.00
With the nearest neighbours (Å) after each atom.
Space group Pmm2 (No. 25)
One atom of each set of equivalent atoms:
Sr 0.0000 0.0000 0.0000 x1  2 Sr 2.83, 4 Pt 3.10
Pt 0.5000 0.5000 0.2974 x1  5 Rh 2.63-2.78, 2 Pt 2.83
Rh 0.0000 0.0000 0.5181 x1  6 Rh 2.59-2.83, 4 Pt 2.78
Rh 0.5000 0.5000 0.6824 x1  6 Rh 2.59-2.83, 1 Pt 2.63

**Crystal system**: orthorhombic
**D(E_F)**: 5.4 states/eV per cell


Structures ranked by computed energy, the most stable listed first: arrangement two, arrangement one.